Record 1
VASP calculation (meta-GGA SCAN) on a crystal of Mg2ScCu2 relaxed with PBEsol.

Computed properties:
Total DFT energy (no corrections) = -10.774 eV/atom
Calculated volume = 17.91 Å³/atom
SG = I4/mmm, No. 139

a b c (Å): 3.612 3.612 7.325
angles (deg): 104.27 104.27 90.00
Site moments in Bohr magnetons follow the coordinates.
Fractional coordinates of all 5 atoms:
Cu: 0.250 0.750 0.500  0.02
Cu: 0.750 0.250 0.500  0.02
Sc: 0.000 0.000 0.000  0.32
Mg: 0.614 0.614 0.229  0.00
Mg: 0.386 0.386 0.771  0.00

Record 2
VASP calculation (meta-GGA SCAN) on a crystal of Mg2Cu2Se relaxed with PBEsol.

Computed properties:
Total DFT energy (no corrections) = -12.230 eV/atom
Calculated volume = 17.31 Å³/atom
SG = C2/m, No. 12

a b c (Å): 3.755 4.979 5.019
angles (deg): 95.54 111.97 90.00
Fractional coordinates of all 5 atoms:
Mg: 0.286 0.740 0.572
Mg: 0.714 0.260 0.428
Cu: 0.578 0.710 0.157
Cu: 0.422 0.290 0.843
Se: 0.000 0.000 0.000

Record 3
VASP calculation (meta-GGA SCAN) on a crystal of Mg3Cu3Se relaxed with PBEsol.

Computed properties:
Total DFT energy (no corrections) = -11.869 eV/atom
Calculated volume = 16.97 Å³/atom
SG = P2_1/m, No. 11

a b c (Å): 3.765 6.575 9.956
angles (deg): 105.38 90.00 90.00
Fractional coordinates of all 14 atoms:
Mg: 0.750 0.492 0.883
Mg: 0.250 0.692 0.672
Mg: 0.750 0.308 0.328
Mg: 0.250 0.914 0.344
Mg: 0.750 0.086 0.656
Mg: 0.250 0.508 0.117
Cu: 0.750 0.889 0.850
Cu: 0.750 0.216 0.039
Cu: 0.750 0.864 0.124
Cu: 0.250 0.111 0.150
Cu: 0.250 0.784 0.961
Cu: 0.250 0.136 0.876
Se: 0.750 0.722 0.457
Se: 0.250 0.278 0.543

Record 4
VASP calculation (meta-GGA SCAN) on a crystal of MgCuSe2 relaxed with PBEsol.

Computed properties:
Total DFT energy (no corrections) = -15.465 eV/atom
Calculated volume = 20.00 Å³/atom
SG = Pmmm, No. 47

a b c (Å): 3.492 3.663 6.253
angles (deg): 90.00 90.00 90.00
Fractional coordinates of all 4 atoms:
Se: 0.000 0.000 0.000
Se: 0.000 0.500 0.500
Cu: 0.500 0.500 0.000
Mg: 0.500 0.000 0.500

Record 5
VASP calculation (meta-GGA SCAN) on a crystal of Mg4Cu2Se relaxed with PBEsol.

Computed properties:
Total DFT energy (no corrections) = -10.101 eV/atom
Calculated volume = 18.76 Å³/atom
SG = I4/mmm, No. 139

a b c (Å): 5.588 5.588 5.588
angles (deg): 104.81 104.81 119.27
Fractional coordinates of all 7 atoms:
Mg: 0.272 0.728 0.000
Mg: 0.272 0.272 0.544
Mg: 0.728 0.728 0.456
Mg: 0.728 0.272 0.000
Cu: 0.250 0.750 0.500
Cu: 0.750 0.250 0.500
Se: 0.000 0.000 0.000

Record 6
VASP calculation (meta-GGA SCAN) on a crystal of Mg3CuSe3 relaxed with PBEsol.

Computed properties:
Total DFT energy (no corrections) = -13.668 eV/atom
Calculated volume = 26.12 Å³/atom
SG = P6_3/m, No. 176

a b c (Å): 4.936 9.250 9.250
angles (deg): 120.00 90.00 90.00
Fractional coordinates of all 14 atoms:
Se: 0.250 0.624 0.826
Se: 0.250 0.174 0.798
Se: 0.250 0.202 0.376
Se: 0.750 0.798 0.624
Se: 0.750 0.376 0.174
Se: 0.750 0.826 0.202
Cu: 0.250 0.333 0.667
Cu: 0.750 0.667 0.333
Mg: 0.750 0.141 0.260
Mg: 0.250 0.260 0.119
Mg: 0.250 0.859 0.740
Mg: 0.750 0.740 0.881
Mg: 0.250 0.881 0.141
Mg: 0.750 0.119 0.859

Record 7
VASP calculation (meta-GGA SCAN) on a crystal of MgCuSe relaxed with PBEsol.

Computed properties:
Total DFT energy (no corrections) = -13.629 eV/atom
Calculated volume = 17.26 Å³/atom
Distance to the lowest polymorph of the same formula = 1.143 eV/f.u.
SG = P4/nmm, No. 129

a b c (Å): 4.103 4.103 6.153
angles (deg): 90.00 90.00 90.00
Fractional coordinates of all 6 atoms:
Mg: 0.000 0.000 0.500
Mg: 0.500 0.500 0.500
Se: 0.000 0.500 0.200
Se: 0.500 0.000 0.800
Cu: 0.500 0.000 0.196
Cu: 0.000 0.500 0.804

Record 8
VASP calculation (meta-GGA SCAN) on a crystal of MgCuSe relaxed with PBEsol.

Computed properties:
Total DFT energy (no corrections) = -13.619 eV/atom
Calculated volume = 18.59 Å³/atom
Distance to the lowest polymorph of the same formula = 1.172 eV/f.u.
SG = F-43m, No. 216

a b c (Å): 4.289 4.289 4.289
angles (deg): 60.00 60.00 60.00
Fractional coordinates of all 3 atoms:
Se: 0.500 0.500 0.500
Cu: 0.250 0.250 0.250
Mg: 0.000 0.000 0.000

Record 9
VASP calculation (meta-GGA SCAN) on a crystal of MgCuSe2 relaxed with PBEsol.

Computed properties:
Total DFT energy (no corrections) = -15.779 eV/atom
Calculated volume = 18.08 Å³/atom
SG = P4/mmm, No. 123

a b c (Å): 3.721 3.721 5.224
angles (deg): 90.00 90.00 90.00
Fractional coordinates of all 4 atoms:
Mg: 0.500 0.500 0.500
Cu: 0.000 0.000 0.000
Se: 0.000 0.000 0.500
Se: 0.500 0.500 0.000

Record 10
VASP calculation (meta-GGA SCAN) on a crystal of MgCu2Se relaxed with PBEsol.

Computed properties:
Total DFT energy (no corrections) = -14.014 eV/atom
Calculated volume = 15.91 Å³/atom
Distance to the lowest polymorph of the same formula = 0.000 eV/f.u.
SG = P2/m, No. 10

a b c (Å): 3.700 3.720 4.626
angles (deg): 90.00 90.00 91.98
Fractional coordinates of all 4 atoms:
Cu: 0.249 0.247 0.000
Cu: 0.751 0.753 0.000
Se: 0.500 0.500 0.500
Mg: 0.000 0.000 0.500

Record 11
VASP calculation (meta-GGA SCAN) on a crystal of Mg2CuSe4 relaxed with PBEsol.

Computed properties:
Total DFT energy (no corrections) = -15.702 eV/atom
Calculated volume = 22.29 Å³/atom
Distance to the lowest polymorph of the same formula = 0.000 eV/f.u.
SG = I4/m, No. 87

a b c (Å): 5.905 5.905 5.905
angles (deg): 101.22 113.75 113.75
Fractional coordinates of all 7 atoms:
Mg: 0.500 0.750 0.250
Mg: 0.500 0.250 0.750
Se: 0.101 0.305 0.796
Se: 0.492 0.796 0.695
Se: 0.508 0.204 0.305
Se: 0.899 0.695 0.204
Cu: 0.000 0.000 0.000

Record 12
VASP calculation (meta-GGA SCAN) on a crystal of MgCuSe2 relaxed with PBEsol.

Computed properties:
Total DFT energy (no corrections) = -15.688 eV/atom
Calculated volume = 18.23 Å³/atom
SG = C2/m, No. 12

a b c (Å): 3.727 3.727 6.455
angles (deg): 72.95 72.95 59.82
Site moments in Bohr magnetons follow the coordinates.
Fractional coordinates of all 4 atoms:
Se: 0.759 0.759 0.229  0.05
Se: 0.241 0.241 0.771  0.05
Mg: 0.000 0.000 0.500  0.00
Cu: 0.500 0.500 0.000  0.08